No. 1
# TcPHCl2 PBEsol relaxed
# * calculated density: 3227 kg/m³
# * raw total energy: -21.68 eV for the cell shown
# * M_tot: 0.3387 μB/atom
# * N(E_F): 3.482 states/eV/f.u.
# * crystal system: tetragonal
data_TcPHCl2
_chemical_formula_sum 'Tc1 P1 H1 Cl2'
_cell_length_a 4.806
_cell_length_b 4.806
_cell_length_c 4.475
_cell_angle_alpha 90.00
_cell_angle_beta 90.00
_cell_angle_gamma 90.00
_symmetry_space_group_name_H-M 'P 4/m m m'
_symmetry_Int_Tables_number 123
_symmetry_space_group_name_Hall '-P 4 2'
loop_
_atom_site_label
_atom_site_type_symbol
_atom_site_fract_x
_atom_site_fract_y
_atom_site_fract_z
Tc1 Tc 0.000 0.000 0.000
P1 P 0.000 0.000 0.500
H1 H 0.500 0.500 0.500
Cl1 Cl 0.000 0.500 0.000

No. 2
# HfTe2WN PBEsol relaxed
# * calculated density: 8895 kg/m³
# * raw total energy: -35.40 eV for the cell shown
# * raw formation energy: 898.1 meV per atom
# * M_tot: 0.6367 μB/atom
# * N(E_F): 2.926 states/eV/f.u.
# * crystal system: tetragonal
data_HfTe2WN
_chemical_formula_sum 'Hf1 Te2 W1 N1'
_cell_length_a 5.544
_cell_length_b 5.544
_cell_length_c 3.836
_cell_angle_alpha 90.00
_cell_angle_beta 90.00
_cell_angle_gamma 90.00
_symmetry_space_group_name_H-M 'P 4/m m m'
_symmetry_Int_Tables_number 123
_symmetry_space_group_name_Hall '-P 4 2'
loop_
_atom_site_label
_atom_site_type_symbol
_atom_site_fract_x
_atom_site_fract_y
_atom_site_fract_z
Hf1 Hf 0.000 0.000 0.000
Te1 Te 0.000 0.500 0.000
W1 W 0.500 0.500 0.500
N1 N 0.000 0.000 0.500

What did the first record say?
# TcPHCl2 PBEsol relaxed
# * calculated density: 3227 kg/m³
# * raw total energy: -21.68 eV for the cell shown
# * M_tot: 0.3387 μB/atom
# * N(E_F): 3.482 states/eV/f.u.
# * crystal system: tetragonal
data_TcPHCl2
_chemical_formula_sum 'Tc1 P1 H1 Cl2'
_cell_length_a 4.806
_cell_length_b 4.806
_cell_length_c 4.475
_cell_angle_alpha 90.00
_cell_angle_beta 90.00
_cell_angle_gamma 90.00
_symmetry_space_group_name_H-M 'P 4/m m m'
_symmetry_Int_Tables_number 123
_symmetry_space_group_name_Hall '-P 4 2'
loop_
_atom_site_label
_atom_site_type_symbol
_atom_site_fract_x
_atom_site_fract_y
_atom_site_fract_z
Tc1 Tc 0.000 0.000 0.000
P1 P 0.000 0.000 0.500
H1 H 0.500 0.500 0.500
Cl1 Cl 0.000 0.500 0.000